[1]
! PBE Hf11Pb3, relaxed; values from VASP
! **Energy relative to the elements**: 0.121 eV/atom
! **VASP energy**: -8.494 eV per atom
! **Symmetry**: Immm, No. 71
&SYSTEM
  ibrav = 0, nat = 14, ntyp = 2
/
ATOMIC_SPECIES
Hf 178.49 Hf.upf
Pb 207.20 Pb.upf
CELL_PARAMETERS angstrom
3.043 0.000 0.806
1.183 10.258 1.681
-1.107 -1.280 10.324
ATOMIC_POSITIONS angstrom
Hf 1.149 2.422 7.953
Hf 2.025 9.521 4.648
Hf 2.961 8.253 7.260
Hf 1.001 4.976 2.366
Hf 2.691 7.506 2.134
Hf 2.118 4.002 10.445
Hf 0.038 4.489 6.003
Hf 1.970 6.555 4.858
Hf 0.428 1.471 10.677
Hf 1.094 -0.543 8.164
Hf 0.158 0.725 5.551
Pb 2.217 2.499 3.924
Pb 0.000 0.000 0.000
Pb 0.902 6.478 8.887

***

[2]
! PBE HfPb, relaxed; values from VASP
! **Energy relative to the elements**: 0.512 eV/atom
! **VASP energy**: -6.319 eV per atom
! **Symmetry**: P6_3/mmc, No. 194
&SYSTEM
  ibrav = 0, nat = 4, ntyp = 2
/
ATOMIC_SPECIES
Hf 178.49 Hf.upf
Pb 207.20 Pb.upf
CELL_PARAMETERS angstrom
-1.639 4.435 -1.712
-3.246 -3.773 0.719
-0.868 1.789 5.466
ATOMIC_POSITIONS angstrom
Hf -2.826 3.041 3.198
Hf -2.927 -0.589 1.276
Pb -3.361 0.305 4.009
Pb -2.392 2.146 0.465

***

[3]
! PBE Hf2PdPb2, relaxed; values from VASP
! **Energy relative to the elements**: 0.099 eV/atom
! **VASP energy**: -6.404 eV per atom
! **Symmetry**: P4/mbm, No. 127
! **E above lowest polymorph**: 48.4 meV per atom
&SYSTEM
  ibrav = 0, nat = 10, ntyp = 3
/
ATOMIC_SPECIES
Pd 106.42 Pd.upf
Pb 207.20 Pb.upf
Hf 178.49 Hf.upf
CELL_PARAMETERS angstrom
-1.850 -4.108 -5.582
-2.311 -5.081 4.506
-3.999 1.812 -0.008
ATOMIC_POSITIONS angstrom
Pd 0.000 0.000 0.000
Pd -2.081 -4.595 -0.538
Pb -2.623 -5.782 1.873
Pb -1.538 -3.408 -2.950
Pb -3.074 -6.792 -1.843
Pb -1.088 -2.397 0.767
Hf -4.338 -4.271 -3.161
Hf -5.162 -6.074 0.095
Hf -3.822 -3.107 2.076
Hf -2.998 -1.304 -1.179

***

[4]
! PBE Hf2PdPb2, relaxed; values from VASP
! **Energy relative to the elements**: 0.051 eV/atom
! **VASP energy**: -6.452 eV per atom
! **Symmetry**: P4/mbm, No. 127
! **E above lowest polymorph**: 0.0 meV per atom
&SYSTEM
  ibrav = 0, nat = 10, ntyp = 3
/
ATOMIC_SPECIES
Pb 207.20 Pb.upf
Hf 178.49 Hf.upf
Pd 106.42 Pd.upf
CELL_PARAMETERS angstrom
-4.872 -2.517 4.433
3.504 -6.107 0.383
2.518 1.678 3.720
ATOMIC_POSITIONS angstrom
Pb 0.958 -5.940 5.121
Pb 2.787 -3.625 2.839
Pb 0.192 -1.007 3.415
Pb -1.637 -3.322 5.697
Hf -2.648 -2.597 2.964
Hf 1.280 -6.027 1.852
Hf 0.452 -2.496 0.820
Hf -1.820 -6.128 3.996
Pd 0.000 0.000 0.000
Pd -0.684 -4.312 2.408

***

[5]
! PBE HfPd15Pb4, relaxed; values from VASP
! **Energy relative to the elements**: -0.413 eV/atom
! **VASP energy**: -5.547 eV per atom
! **Symmetry**: P4/mmm, No. 123
&SYSTEM
  ibrav = 0, nat = 20, ntyp = 3
/
ATOMIC_SPECIES
Pb 207.20 Pb.upf
Pd 106.42 Pd.upf
Hf 178.49 Hf.upf
CELL_PARAMETERS angstrom
-3.892 0.514 1.113
0.949 -1.082 3.819
3.910 19.642 4.596
ATOMIC_POSITIONS angstrom
Pb 3.136 15.751 3.685
Pb 0.775 3.891 0.910
Pb 1.562 7.848 1.836
Pb 2.348 11.793 2.759
Pd -0.780 6.114 1.927
Pd 2.430 9.280 4.207
Pd 0.798 14.042 3.782
Pd 0.087 7.547 4.298
Pd -1.472 -0.284 2.466
Pd 4.017 17.252 6.073
Pd 1.669 15.492 6.157
Pd -1.578 2.105 0.989
Pd 0.880 11.526 5.229
Pd 1.641 5.315 3.280
Pd 1.596 18.051 4.720
Pd 0.009 10.078 2.855
Pd -0.702 3.582 3.371
Pd 3.219 13.244 5.135
Pd 0.843 1.307 2.342
Hf 0.000 0.000 0.000

***

[6]
! PBE HfPd3Pb, relaxed; values from VASP
! **Energy relative to the elements**: 0.315 eV/atom
! **VASP energy**: -5.533 eV per atom
! **Symmetry**: Pm-3m, No. 221
! **E above lowest polymorph**: 0.0 meV per atom
&SYSTEM
  ibrav = 0, nat = 5, ntyp = 3
/
ATOMIC_SPECIES
Pd 106.42 Pd.upf
Pb 207.20 Pb.upf
Hf 178.49 Hf.upf
CELL_PARAMETERS angstrom
4.953 0.000 0.000
0.000 4.953 0.000
0.000 0.000 4.953
ATOMIC_POSITIONS angstrom
Pd 2.476 0.000 0.000
Pd 0.000 0.000 2.476
Pd 0.000 2.476 0.000
Pb 2.476 2.476 2.476
Hf 0.000 0.000 0.000

***

Question: Number 2 is which compound?
Answer: HfPb

***

Question: Among the records above, which one has the lowest VASP energy?
Answer: Hf11Pb3